Record 1
The following is a PBE calculation of a relaxed structure of Ce3Se3F2, from Alexandria via LeMat-Bulk.

abc: 3.960 12.767 14.427
angles: 90.00 90.00 90.00
Space group Cmcm (No. 63)
Asymmetric unit:
Ce  0.000  0.124  0.053 (multiplicity 8)
Ce  0.000  0.146  0.750 (multiplicity 4)
Se  0.000  0.178  0.250 (multiplicity 4)
Se  0.000  0.448  0.111 (multiplicity 8)
F  0.000  0.262  0.568 (multiplicity 8)

Properties
Fermi-level density of states	18.3	states/eV/f.u.
size of the total moment	3.9	μB per formula unit
final energy	-6.469	eV per atom

Record 2
The following is a PBE calculation of a relaxed structure of Ce2Se2F, from Alexandria via LeMat-Bulk.

abc: 4.060 17.671 6.746
angles: 90.00 90.00 90.00
Space group Cmc2_1 (No. 36)
Asymmetric unit:
Ce  0.000  0.073  0.000 (multiplicity 4)
Ce  0.000  0.324  0.027 (multiplicity 4)
Se  0.000  0.299  0.496 (multiplicity 4)
Se  0.000  0.471  0.803 (multiplicity 4)
F  0.000  0.117  0.651 (multiplicity 4)

Properties
Fermi-level density of states	12.3	states/eV/f.u.
size of the total moment	2.8	μB per formula unit
final energy	-6.449	eV per atom

Record 3
The following is a PBE calculation of a relaxed structure of Ce4Se5F, from Alexandria via LeMat-Bulk.

abc: 19.900 4.093 7.622
angles: 90.00 112.44 90.00
Space group C2/m (No. 12)
Asymmetric unit:
Ce  0.000  0.000  0.229 (multiplicity 4)
Ce  0.220  0.500  0.220 (multiplicity 4)
Se  0.000  0.500  0.500 (multiplicity 2)
Se  0.161  0.000  0.404 (multiplicity 4)
Se  0.161  0.000  0.918 (multiplicity 4)
F  0.000  0.500  0.000 (multiplicity 2)

Properties
Fermi-level density of states	26.2	states/eV/f.u.
size of the total moment	4.6	μB per formula unit
final energy	-6.194	eV per atom

Record 4
The following is a PBE calculation of a relaxed structure of Ce6Se5F, from Alexandria via LeMat-Bulk.

abc: 7.143 12.379 7.172
angles: 90.00 109.69 90.00
Space group C2/m (No. 12)
Asymmetric unit:
Ce  0.242  0.000  0.248 (multiplicity 4)
Ce  0.242  0.162  0.741 (multiplicity 8)
Se  0.000  0.174  0.000 (multiplicity 4)
Se  0.000  0.335  0.500 (multiplicity 4)
Se  0.000  0.500  0.000 (multiplicity 2)
F  0.000  0.000  0.500 (multiplicity 2)

Properties
Fermi-level density of states	36.1	states/eV/f.u.
size of the total moment	4.9	μB per formula unit
final energy	-6.422	eV per atom

Record 5
The following is a PBE calculation of a relaxed structure of Ce2Se3F, from Alexandria via LeMat-Bulk.

abc: 7.8842 7.8842 17.2386
angles: 90.00 90.00 120.00
Space group R-3c (No. 167, hexagonal axes)
Asymmetric unit:
Ce  0.0000  0.0000  0.1314 (multiplicity 12)
Se  0.0000  0.2752  0.2500 (multiplicity 18)
F  0.0000  0.0000  0.0000 (multiplicity 6)

Properties
Fermi-level density of states	11.9	states/eV/f.u.
size of the total moment	1.0	μB per formula unit
distance to the lowest polymorph of the same formula	0.0	meV per atom
final energy	-6.195	eV per atom

Record 6
The following is a PBE calculation of a relaxed structure of Ce2SeF, from Alexandria via LeMat-Bulk.

abc: 3.9028 3.9028 19.5233
angles: 90.00 90.00 120.00
Space group R-3m (No. 166, hexagonal axes)
Asymmetric unit:
Ce  0.0000  0.0000  0.2392 (multiplicity 6)
Se  0.0000  0.0000  0.0000 (multiplicity 3)
F  0.0000  0.0000  0.5000 (multiplicity 3)

Properties
Fermi-level density of states	11.3	states/eV/f.u.
size of the total moment	1.7	μB per formula unit
final energy	-6.296	eV per atom

Record 7
The following is a PBE calculation of a relaxed structure of SrCeSe2F, from Alexandria via LeMat-Bulk.

abc: 4.197 4.197 14.582
angles: 90.00 90.00 90.00
Space group P4/nmm (No. 129, origin choice 2)
Asymmetric unit:
Sr  0.250  0.250  0.096 (multiplicity 2)
Ce  0.250  0.250  0.619 (multiplicity 2)
Se  0.250  0.250  0.406 (multiplicity 2)
Se  0.250  0.250  0.805 (multiplicity 2)
F  0.250  0.750  0.000 (multiplicity 2)

Properties
Fermi-level density of states	6.2	states/eV/f.u.
size of the total moment	0.9	μB per formula unit
final energy	-5.746	eV per atom

Record 8
The following is a PBE calculation of a relaxed structure of CeSiF, from Alexandria via LeMat-Bulk.

abc: 9.348 3.958 7.709
angles: 90.00 114.36 90.00
Space group C2/m (No. 12)
Asymmetric unit:
Ce  0.201  0.000  0.250 (multiplicity 4)
Si  0.076  0.500  0.918 (multiplicity 4)
F  0.185  0.000  0.562 (multiplicity 4)

Properties
Fermi-level density of states	4.7	states/eV/f.u.
size of the total moment	0.6	μB per formula unit
final energy	-6.290	eV per atom